DFT (PBE) results for NaAcAs2Au2 after structural relaxation.

a = 4.5231 Å, b = 4.5231 Å, c = 8.2528 Å
α = 90.00°, β = 90.00°, γ = 120.00°
With the nearest neighbours (Å) after each atom.
Fractional positions:
1 Na 0.0000 0.0000 0.0000  6 Au 3.25, 6 As 3.37
2 Ac 0.0000 0.0000 0.5000  6 As 3.29, 6 Au 3.41
3 As 0.3333 0.6667 0.7426  3 Au 2.62
4 As 0.6667 0.3333 0.2574  3 Au 2.62
5 Au 0.3333 0.6667 0.2348  3 As 2.62
6 Au 0.6667 0.3333 0.7652  3 As 2.62

Calculated values
The total moment comes out at 0.00 μB/f.u. The calculation puts the calculated volume at 24.4 Å³/atom. Its calculated density is 9.0 g/cm³. As for the formation energy: -4.48 eV per formula unit.

DFT (PBE) results for Ac2Ni3As4Au after structural relaxation.

a = 4.4317 Å, b = 4.4317 Å, c = 9.8531 Å
α = 90.00°, β = 90.00°, γ = 90.00°
With the nearest neighbours (Å) after each atom.
Fractional positions:
1 Ac 0.0000 0.5000 0.2446  8 As 3.27-3.32, 7 Ni 3.35-3.47, 2 Au 3.35
2 Ac 0.5000 0.0000 0.7554  8 As 3.27-3.32, 7 Ni 3.35-3.47, 2 Au 3.35
3 Ni 0.0000 0.5000 0.8924  5 As 2.45-2.46
4 Ni 0.5000 0.0000 0.1076  5 As 2.45-2.46
5 Ni 0.5000 0.5000 0.5000  4 As 2.63
6 As 0.0000 0.0000 0.0000  4 Ni 2.46
7 As 0.0000 0.5000 0.6438  3 Ni 2.45-2.63, 2 Au 2.63
8 As 0.5000 0.0000 0.3562  3 Ni 2.45-2.63, 2 Au 2.63
9 As 0.5000 0.5000 0.0000  4 Ni 2.46
10 Au 0.0000 0.0000 0.5000  4 As 2.63

Calculated values
The total moment comes out at 0.00 μB/f.u. The calculation puts the calculated volume at 19.4 Å³/atom. Its calculated density is 9.7 g/cm³. As for the formation energy: -7.51 eV per formula unit.

DFT (PBE) results for Ac2AsAuO6 after structural relaxation.

a = 5.6906 Å, b = 5.6906 Å, c = 4.9238 Å
α = 90.00°, β = 90.00°, γ = 90.00°
With the nearest neighbours (Å) after each atom.
Fractional positions:
1 Ac 0.0000 0.5000 0.0000  4 O 2.51
2 Ac 0.5000 0.0000 0.0000  4 O 2.51
3 As 0.0000 0.0000 0.5932  5 O 1.76-1.83
4 Au 0.5000 0.5000 0.4537  1 O 2.07
5 O 0.0000 0.0000 0.2357  1 As 1.76
6 O 0.2173 0.2173 0.7006  1 As 1.83
7 O 0.2173 0.7827 0.7006  1 As 1.83
8 O 0.5000 0.5000 0.0333  1 Au 2.07
9 O 0.7827 0.2173 0.7006  1 As 1.83
10 O 0.7827 0.7827 0.7006  1 As 1.83

Calculated values
The total moment comes out at 0.00 μB/f.u. The calculation puts the calculated volume at 15.9 Å³/atom. Its calculated density is 8.6 g/cm³. The uncorrected formation energy is -20.10 eV per formula unit.

DFT (PBE) results for AcAsAuO5 after structural relaxation.

a = 6.4157 Å, b = 6.4157 Å, c = 8.9614 Å
α = 108.32°, β = 108.32°, γ = 89.89°
With the nearest neighbours (Å) after each atom.
Fractional positions:
1 Ac 0.0000 0.5000 0.0000  6 O 2.46-2.55
2 Ac 0.5000 0.0000 0.5000  6 O 2.46-2.55
3 As 0.1030 0.8970 0.7500  4 O 1.69-1.76
4 As 0.8970 0.1030 0.2500  4 O 1.69-1.76
5 Au 0.4352 0.5648 0.7500  1 O 1.96
6 Au 0.5648 0.4352 0.2500  1 O 1.96
7 O 0.1482 0.1505 0.8959  1 As 1.69
8 O 0.1505 0.1482 0.3959  1 As 1.69
9 O 0.1551 0.6843 0.8373  1 As 1.76
10 O 0.3157 0.8449 0.6627  1 As 1.76
11 O 0.3488 0.6512 0.2500  1 Au 1.96
12 O 0.6512 0.3488 0.7500  1 Au 1.96
13 O 0.6843 0.1551 0.3373  1 As 1.76
14 O 0.8449 0.3157 0.1627  1 As 1.76
15 O 0.8495 0.8518 0.6041  1 As 1.69
16 O 0.8518 0.8495 0.1041  1 As 1.69

Calculated values
The total moment comes out at 1.02 μB/f.u. The calculation puts the calculated volume at 20.7 Å³/atom. Its calculated density is 5.8 g/cm³. The uncorrected formation energy is -12.81 eV per formula unit.

DFT (PBE) results for AcAsAuO after structural relaxation.

a = 4.6841 Å, b = 4.6841 Å, c = 7.8752 Å
α = 90.00°, β = 90.00°, γ = 90.00°
With the nearest neighbours (Å) after each atom.
Fractional positions:
1 Ac 0.2500 0.2500 0.1332  4 O 2.57
2 Ac 0.7500 0.7500 0.8668  4 O 2.57
3 As 0.2500 0.7500 0.5000  4 Au 2.60
4 As 0.7500 0.2500 0.5000  4 Au 2.60
5 Au 0.2500 0.2500 0.6438  4 As 2.60
6 Au 0.7500 0.7500 0.3562  4 As 2.60
7 O 0.2500 0.7500 0.0000  4 Ac 2.57
8 O 0.7500 0.2500 0.0000  4 Ac 2.57

Calculated values
The total moment comes out at 0.00 μB/f.u. The calculation puts the calculated volume at 21.6 Å³/atom. Its calculated density is 9.9 g/cm³. The uncorrected formation energy is -6.22 eV per formula unit.

DFT (PBE) results for AcAs2PbAu4 after structural relaxation.

a = 4.9762 Å, b = 4.9762 Å, c = 7.8394 Å
α = 90.00°, β = 90.00°, γ = 90.00°
With the nearest neighbours (Å) after each atom.
Fractional positions:
1 Ac 0.0000 0.0000 0.0000  8 Au 3.35, 8 As 3.75
2 As 0.5000 0.5000 0.1663  1 As 2.61, 4 Au 2.66
3 As 0.5000 0.5000 0.8337  1 As 2.61, 4 Au 2.66
4 Pb 0.0000 0.0000 0.5000  8 Au 3.00
5 Au 0.0000 0.5000 0.2865  2 As 2.66
6 Au 0.0000 0.5000 0.7135  2 As 2.66
7 Au 0.5000 0.0000 0.2865  2 As 2.66
8 Au 0.5000 0.0000 0.7135  2 As 2.66

Calculated values
The total moment comes out at 0.00 μB/f.u. The calculation puts the calculated volume at 24.3 Å³/atom. Its calculated density is 11.7 g/cm³. As for the formation energy: -2.42 eV per formula unit.

Repeat the first record exactly.
DFT (PBE) results for NaAcAs2Au2 after structural relaxation.

a = 4.5231 Å, b = 4.5231 Å, c = 8.2528 Å
α = 90.00°, β = 90.00°, γ = 120.00°
With the nearest neighbours (Å) after each atom.
Fractional positions:
1 Na 0.0000 0.0000 0.0000  6 Au 3.25, 6 As 3.37
2 Ac 0.0000 0.0000 0.5000  6 As 3.29, 6 Au 3.41
3 As 0.3333 0.6667 0.7426  3 Au 2.62
4 As 0.6667 0.3333 0.2574  3 Au 2.62
5 Au 0.3333 0.6667 0.2348  3 As 2.62
6 Au 0.6667 0.3333 0.7652  3 As 2.62

Calculated values
The total moment comes out at 0.00 μB/f.u. The calculation puts the calculated volume at 24.4 Å³/atom. Its calculated density is 9.0 g/cm³. As for the formation energy: -4.48 eV per formula unit.

Please write out number 4 again, unchanged.
DFT (PBE) results for AcAsAuO5 after structural relaxation.

a = 6.4157 Å, b = 6.4157 Å, c = 8.9614 Å
α = 108.32°, β = 108.32°, γ = 89.89°
With the nearest neighbours (Å) after each atom.
Fractional positions:
1 Ac 0.0000 0.5000 0.0000  6 O 2.46-2.55
2 Ac 0.5000 0.0000 0.5000  6 O 2.46-2.55
3 As 0.1030 0.8970 0.7500  4 O 1.69-1.76
4 As 0.8970 0.1030 0.2500  4 O 1.69-1.76
5 Au 0.4352 0.5648 0.7500  1 O 1.96
6 Au 0.5648 0.4352 0.2500  1 O 1.96
7 O 0.1482 0.1505 0.8959  1 As 1.69
8 O 0.1505 0.1482 0.3959  1 As 1.69
9 O 0.1551 0.6843 0.8373  1 As 1.76
10 O 0.3157 0.8449 0.6627  1 As 1.76
11 O 0.3488 0.6512 0.2500  1 Au 1.96
12 O 0.6512 0.3488 0.7500  1 Au 1.96
13 O 0.6843 0.1551 0.3373  1 As 1.76
14 O 0.8449 0.3157 0.1627  1 As 1.76
15 O 0.8495 0.8518 0.6041  1 As 1.69
16 O 0.8518 0.8495 0.1041  1 As 1.69

Calculated values
The total moment comes out at 1.02 μB/f.u. The calculation puts the calculated volume at 20.7 Å³/atom. Its calculated density is 5.8 g/cm³. The uncorrected formation energy is -12.81 eV per formula unit.

What is the calculated density in the fourth record? 5.8 g/cm³

Which of these has the highest calculated density? AcAs2PbAu4